[1]
# TmRuC

A geometry-optimized TmRuC structure (PBE-GGA, Alexandria).

a = 3.3287 Å, b = 3.3287 Å, c = 4.7256 Å
α = 90.00°, β = 90.00°, γ = 120.00°
Space group P3m1 (No. 156)
Unique sites:
Tm (0.0000, 0.0000, 0.0000) x1
Ru (0.3333, 0.6667, 0.5208) x1
C (0.6667, 0.3333, 0.6713) x1

Output
The value obtained for the energy of formation is -22 kJ per mole of atoms. The size of the total moment comes out at 0.00 μB per cell. The density of states at the Fermi level is 1.5 states/eV per cell. The energy above the lowest structure with this stoichiometry comes out at 48 meV per atom. For the density, the calculation gives 10.33 g cm⁻³.

---

[2]
# Tm12Ru3C5

A geometry-optimized Tm12Ru3C5 structure (PBE-GGA, Alexandria).

a = 15.107 Å, b = 15.107 Å, c = 15.107 Å
α = 90.00°, β = 90.00°, γ = 90.00°
Space group Ia-3d (No. 230)
Unique sites:
Tm (0.027, 0.056, 0.652) x96
Ru (0.000, 0.250, 0.125) x24
C (0.000, 0.000, 0.000) x16
C (0.000, 0.250, 0.375) x24

Output
The value obtained for the energy of formation is -18 kJ per mole of atoms. The size of the total moment comes out at 0.00 μB per cell. The density of states at the Fermi level is 59.9 states/eV per cell. For the density, the calculation gives 9.21 g cm⁻³.

---

[3]
# Tm8RuC3

A geometry-optimized Tm8RuC3 structure (PBE-GGA, Alexandria).

a = 7.1748 Å, b = 7.1748 Å, c = 12.2345 Å
α = 90.00°, β = 90.00°, γ = 120.00°
Space group P6_3mc (No. 186)
Unique sites:
Tm (0.0000, 0.0000, 0.0000) x2
Tm (0.0214, 0.5107, 0.0039) x6
Tm (0.1532, 0.3065, 0.2757) x6
Tm (0.3333, 0.6667, 0.7783) x2
Ru (0.3333, 0.6667, 0.1569) x2
C (0.1673, 0.3346, 0.8893) x6

Output
The value obtained for the energy of formation is -27 kJ per mole of atoms. The size of the total moment comes out at 1.05 μB per cell. The density of states at the Fermi level is 17.3 states/eV per cell. For the density, the calculation gives 9.06 g cm⁻³.

---

Question: Which value of density of states at the Fermi level does entry 1 give?
Answer: 1.5 states/eV per cell

---

Question: size of the total moment of number 2 (Tm12Ru3C5)?
Answer: 0.00 μB per cell

---

Question: Look up the energy of formation of the first one.
Answer: -22 kJ per mole of atoms

---

Question: Which value of density does entry 3 give?
Answer: 9.06 g cm⁻³